[1]
SrNdGdMg | PBE | relaxed

Geometry as CIF:
```
data_SrNdGdMg
_cell_length_a 8.212
_cell_length_b 8.212
_cell_length_c 8.212
_cell_angle_alpha 90.00
_cell_angle_beta 90.00
_cell_angle_gamma 90.00
_symmetry_space_group_name_H-M 'F -4 3 m'
_symmetry_Int_Tables_number 216
_symmetry_space_group_name_Hall 'F -4 2 3'
loop_
_atom_site_label
_atom_site_fract_x
_atom_site_fract_y
_atom_site_fract_z
Sr1 0.000 0.000 0.000
Nd1 0.000 0.000 0.500
Gd1 0.250 0.250 0.750
Mg1 0.250 0.250 0.250
```

Properties
E = -5.3932 eV per atom
total magnetization = 28.54 μB per cell


[2]
HfMgIrAu | PBE | relaxed

Geometry as CIF:
```
data_HfMgIrAu
_cell_length_a 6.553
_cell_length_b 6.553
_cell_length_c 6.553
_cell_angle_alpha 90.00
_cell_angle_beta 90.00
_cell_angle_gamma 90.00
_symmetry_space_group_name_H-M 'F -4 3 m'
_symmetry_Int_Tables_number 216
_symmetry_space_group_name_Hall 'F -4 2 3'
loop_
_atom_site_label
_atom_site_fract_x
_atom_site_fract_y
_atom_site_fract_z
Hf1 0.000 0.000 0.000
Mg1 0.000 0.000 0.500
Ir1 0.250 0.250 0.250
Au1 0.250 0.250 0.750
```

Properties
E = -6.5410 eV per atom
total magnetization = 0.00 μB per cell


The following formation energy values (in eV per atom) correspond, in order, to the records above: 0.14, -0.62.